A relaxed structure of LaTaNO. Source: OQMD, functional PBE-GGA.

Calculated values
Polymorph energy (0 for the lowest one) ... 374 meV per atom

Cell lengths 6.455, 7.678, 5.315 Å; angles 90.00, 90.00, 90.00 degrees
Space group Pca2_1 (No. 29)
Unique sites:
La 0.065 0.150 0.000 [4 per cell]
Ta 0.132 0.653 0.008 [4 per cell]
N 0.054 0.152 0.498 [4 per cell]
O 0.084 0.534 0.642 [4 per cell]

A relaxed structure of LuIn2Hg. Source: OQMD, functional PBE-GGA.

Calculated values
VASP energy ... -2.7445 eV per atom

Cell lengths 7.340, 7.340, 7.340 Å; angles 90.00, 90.00, 90.00 degrees
Space group F-43m (No. 216)
Unique sites:
Lu 0.000 0.000 0.000 [4 per cell]
In 0.000 0.000 0.500 [4 per cell]
In 0.250 0.250 0.750 [4 per cell]
Hg 0.250 0.250 0.250 [4 per cell]

A relaxed structure of Pr2AsBrCl. Source: OQMD, functional PBE-GGA.

Calculated values
VASP energy ... -5.3546 eV per atom

Cell lengths 4.2482, 4.2482, 10.1043 Å; angles 90.00, 90.00, 120.00 degrees
Space group P3m1 (No. 156)
Unique sites:
Pr 0.0000 0.0000 0.0000 [1 per cell]
Pr 0.3333 0.6667 0.3308 [1 per cell]
As 0.6667 0.3333 0.1656 [1 per cell]
Br 0.3333 0.6667 0.8163 [1 per cell]
Cl 0.0000 0.0000 0.4918 [1 per cell]